A plane-wave DFT calculation with GGA-PBE was carried out for a geometry-optimized CaLa7Tm4 structure.

Unit cell a=6.3648 b=7.3310 c=9.7113 alpha=101.14 beta=108.86 gamma=90.01
Positions (direct):
Ca  0.0000  0.0000  0.0000
La  0.0000  0.5000  0.0000
La  0.1669  0.9141  0.6575
La  0.3444  0.3402  0.3392
La  0.4978  0.7378  0.0005
La  0.5022  0.2622  0.9995
La  0.6556  0.6598  0.6608
La  0.8331  0.0859  0.3425
Tm  0.1620  0.4140  0.6643
Tm  0.3438  0.8308  0.3385
Tm  0.6562  0.1692  0.6615
Tm  0.8380  0.5860  0.3357

## Properties
Space group = P-1, No. 2
Total magnetization = 0.0 Bohr magnetons per cell
ΔH_f (0 K) = 50 meV/atom
DFT total energy = -4.4818 eV/atom



A plane-wave DFT calculation with GGA-PBE was carried out for a geometry-optimized Pr3DyY6 structure.

Unit cell a=10.9677 b=10.9677 c=6.4655 alpha=90.00 beta=90.00 gamma=119.80
Positions (direct):
Pr  0.1136  0.8864  0.5000
Pr  0.2068  0.4358  0.8931
Pr  0.4358  0.2068  0.3931
Pr  0.5642  0.7932  0.8931
Pr  0.7932  0.5642  0.3931
Pr  0.8864  0.1136  0.0000
Dy  0.3081  0.6919  0.5653
Dy  0.6919  0.3081  0.0653
Y  0.0280  0.4455  0.3030
Y  0.1240  0.2127  0.4831
Y  0.2127  0.1240  0.9831
Y  0.2329  0.7671  0.0876
Y  0.4455  0.0280  0.8030
Y  0.4615  0.5385  0.2898
Y  0.5385  0.4615  0.7898
Y  0.5545  0.9720  0.3030
Y  0.7671  0.2329  0.5876
Y  0.7873  0.8760  0.4831
Y  0.8760  0.7873  0.9831
Y  0.9720  0.5545  0.8030

## Properties
Space group = Cmc2_1, No. 36
Total magnetization = 0.0 Bohr magnetons per cell
ΔH_f (0 K) = 141 meV/atom
DFT total energy = -5.6314 eV/atom



A plane-wave DFT calculation with GGA-PBE was carried out for a geometry-optimized PrSm2USb4 structure.

Unit cell a=7.7484 b=7.7314 c=6.3211 alpha=66.04 beta=65.76 gamma=48.20
Positions (direct):
Pr  0.0000  0.0000  0.0000
Sm  0.2500  0.2500  0.2500
Sm  0.5000  0.5000  0.5000
U  0.7500  0.7500  0.7500
Sb  0.2519  0.2519  0.7481
Sb  0.5043  0.5043  0.9957
Sb  0.7481  0.7481  0.2519
Sb  0.9957  0.9957  0.5043

## Properties
Space group = F222, No. 22
Total magnetization = 2.7 Bohr magnetons per cell
Raw formation energy = -0.9239 eV/atom
DFT total energy = -6.1734 eV/atom



A plane-wave DFT calculation with GGA-PBE was carried out for a geometry-optimized ScRhIN2 structure.

Unit cell a=3.9973 b=3.9973 c=5.4815 alpha=90.00 beta=90.00 gamma=90.00
Positions (direct):
Sc  0.0000  0.0000  0.0000
Rh  0.5000  0.5000  0.5000
I  0.5000  0.5000  0.0000
N  0.0000  0.5000  0.5000
N  0.5000  0.0000  0.5000

## Properties
Space group = P4/mmm, No. 123
Total magnetization = 0.6 Bohr magnetons per cell
Raw formation energy = 0.9006 eV/atom
DFT total energy = -5.4762 eV/atom



A plane-wave DFT calculation with GGA-PBE was carried out for a geometry-optimized LiScPb structure.

Unit cell a=4.5919 b=4.5919 c=11.6775 alpha=90.00 beta=90.00 gamma=120.00
Positions (direct):
Li  0.3333  0.6667  0.2500
Li  0.6667  0.3333  0.7500
Sc  0.0000  0.0000  0.2500
Sc  0.0000  0.0000  0.7500
Pb  0.0000  0.0000  0.0000
Pb  0.0000  0.0000  0.5000

## Properties
Space group = P6_3/mmc, No. 194
Total magnetization = 2.8 Bohr magnetons per cell
ΔH_f (0 K) = 946 meV/atom
DFT total energy = -3.0385 eV/atom



A plane-wave DFT calculation with GGA-PBE was carried out for a geometry-optimized CsFe3Sb structure.

Unit cell a=4.8567 b=4.8567 c=4.8567 alpha=90.00 beta=90.00 gamma=90.00
Positions (direct):
Cs  0.0000  0.0000  0.0000
Fe  0.0000  0.5000  0.5000
Fe  0.5000  0.0000  0.5000
Fe  0.5000  0.5000  0.0000
Sb  0.5000  0.5000  0.5000

## Properties
Space group = Pm-3m, No. 221
Total magnetization = 8.0 Bohr magnetons per cell
Raw formation energy = 1.2015 eV/atom
DFT total energy = -4.8713 eV/atom